Entry 1:
This record from Alexandria describes a geometry-optimized K3CdCl6 structure. The functional is GGA-PBE.

Summary:
symmetry: No. 36
M_tot: 0.0 μB/f.u.
formation energy without anion corrections: -1451 meV/atom

Structure (extended XYZ):
```
20
Lattice="6.786 -8.698 0.000 6.786 8.698 0.000 0.000 0.000 5.813" Properties=species:S:1:pos:R:3 pbc="T T T"
K 6.786 6.666 2.906
K 4.266 2.054 2.810
K 4.266 -2.054 5.717
K 9.306 2.054 2.810
K 9.306 -2.054 5.717
K 6.786 -6.666 0.000
Cd 6.786 3.594 5.227
Cd 6.786 -3.594 2.320
Cl 4.712 4.792 4.536
Cl 2.178 0.039 4.293
Cl 2.178 -0.039 1.387
Cl 6.786 3.653 1.894
Cl 8.860 4.792 4.536
Cl 6.786 1.172 4.650
Cl 6.786 -1.172 1.743
Cl 4.712 -4.792 1.630
Cl 6.786 -3.653 4.800
Cl 11.394 0.039 4.293
Cl 11.394 -0.039 1.387
Cl 8.860 -4.792 1.630
```

=====

Entry 2:
This record from Alexandria describes a geometry-optimized K2Cd3Cl8 structure. The functional is GGA-PBE.

Summary:
symmetry: No. 12
M_tot: 0.0 μB/f.u.
formation energy without anion corrections: -1378 meV/atom

Structure (extended XYZ):
```
13
Lattice="7.560 -3.975 0.000 7.560 3.975 0.000 -2.175 0.000 6.544" Properties=species:S:1:pos:R:3 pbc="T T T"
K 3.130 0.000 1.104
K 9.815 0.000 5.440
Cd 6.472 2.059 3.272
Cd 7.560 0.000 0.000
Cd 6.472 -2.059 3.272
Cl 0.695 0.000 3.033
Cl 5.783 1.813 0.702
Cl 7.161 1.813 5.842
Cl 4.738 0.000 3.891
Cl 8.207 0.000 2.654
Cl 5.783 -1.813 0.702
Cl 7.161 -1.813 5.842
Cl 12.250 0.000 3.511
```

=====

Entry 3:
This record from Alexandria describes a geometry-optimized K2CdCl structure. The functional is GGA-PBE.

Summary:
symmetry: No. 225
M_tot: 0.0 μB/f.u.
formation energy without anion corrections: -678 meV/atom
energy above the most stable polymorph in this dataset: 0.223 eV/atom

Structure (extended XYZ):
```
4
Lattice="0.000 4.209 4.209 4.209 0.000 4.209 4.209 4.209 0.000" Properties=species:S:1:pos:R:3 pbc="T T T"
K 2.104 2.104 2.104
K 6.313 6.313 6.313
Cd 0.000 0.000 0.000
Cl 4.209 4.209 4.209
```

=====

Entry 4:
This record from Alexandria describes a geometry-optimized KCd2Cl structure. The functional is GGA-PBE.

Summary:
symmetry: No. 47
M_tot: 0.0 μB/f.u.
formation energy without anion corrections: -491 meV/atom
energy above the most stable polymorph in this dataset: 0.240 eV/atom

Structure (extended XYZ):
```
4
Lattice="4.092 0.000 0.000 0.000 5.803 0.000 0.000 0.000 5.853" Properties=species:S:1:pos:R:3 pbc="T T T"
K 0.000 0.000 0.000
Cd 2.046 1.506 2.927
Cd 2.046 4.296 2.927
Cl 0.000 2.901 0.000
```

=====

Entry 5:
This record from Alexandria describes a geometry-optimized K4Cd2Cl structure. The functional is GGA-PBE.

Summary:
symmetry: No. 139
M_tot: 0.0 μB/f.u.
formation energy without anion corrections: -468 meV/atom

Structure (extended XYZ):
```
7
Lattice="-3.196 3.196 8.278 3.196 -3.196 8.278 3.196 3.196 -8.278" Properties=species:S:1:pos:R:3 pbc="T T T"
K 3.196 0.000 0.000
K 0.000 0.000 3.115
K 0.000 3.196 0.000
K 0.000 0.000 13.441
Cd 0.000 0.000 6.706
Cd 0.000 0.000 9.850
Cl 0.000 0.000 0.000
```

=====

Entry 6:
This record from Alexandria describes a geometry-optimized K2CdCl structure. The functional is GGA-PBE.

Summary:
symmetry: No. 119
M_tot: 0.0 μB/f.u.
formation energy without anion corrections: -714 meV/atom
energy above the most stable polymorph in this dataset: 0.187 eV/atom

Structure (extended XYZ):
```
4
Lattice="-2.378 2.378 7.046 2.378 -2.378 7.046 2.378 2.378 -7.046" Properties=species:S:1:pos:R:3 pbc="T T T"
K 0.000 0.000 0.000
K 0.000 2.378 3.523
Cd 2.378 0.000 3.523
Cl 0.000 0.000 7.046
```

=====

Entry 7:
This record from Alexandria describes a geometry-optimized KCd2Cl structure. The functional is GGA-PBE.

Summary:
symmetry: No. 225
M_tot: 0.0 μB/f.u.
formation energy without anion corrections: -380 meV/atom
energy above the most stable polymorph in this dataset: 0.351 eV/atom

Structure (extended XYZ):
```
4
Lattice="0.000 4.112 4.112 4.112 0.000 4.112 4.112 4.112 0.000" Properties=species:S:1:pos:R:3 pbc="T T T"
K 0.000 0.000 0.000
Cd 2.056 2.056 2.056
Cd 6.168 6.168 6.168
Cl 4.112 4.112 4.112
```

=====

Entry 8:
This record from Alexandria describes a geometry-optimized KCd2Cl structure. The functional is GGA-PBE.

Summary:
symmetry: No. 166
M_tot: 0.0 μB/f.u.
formation energy without anion corrections: -402 meV/atom
energy above the most stable polymorph in this dataset: 0.328 eV/atom

Structure (extended XYZ):
```
4
Lattice="2.097 1.211 9.176 -2.097 1.211 9.176 0.000 -2.421 9.176" Properties=species:S:1:pos:R:3 pbc="T T T"
K 0.000 0.000 0.000
Cd 0.000 0.000 6.510
Cd 0.000 0.000 21.019
Cl 0.000 0.000 13.765
```

=====

Entry 9:
This record from Alexandria describes a geometry-optimized KCd4Cl8 structure. The functional is GGA-PBE.

Summary:
symmetry: No. 216
M_tot: 0.0 μB/f.u.
formation energy without anion corrections: -1076 meV/atom

Structure (extended XYZ):
```
13
Lattice="0.000 5.880 5.880 5.880 0.000 5.880 5.880 5.880 0.000" Properties=species:S:1:pos:R:3 pbc="T T T"
K 0.000 0.000 0.000
Cd 4.456 4.456 4.456
Cd 7.303 7.303 4.456
Cd 7.303 4.456 7.303
Cd 4.456 7.303 7.303
Cl 1.704 1.704 1.704
Cl 4.176 4.176 1.704
Cl 4.176 1.704 4.176
Cl 7.181 4.578 4.578
Cl 1.704 4.176 4.176
Cl 4.578 7.181 4.578
Cl 4.578 4.578 7.181
Cl 7.181 7.181 7.181
```

=====

Entry 10:
This record from Alexandria describes a geometry-optimized KCd4Cl structure. The functional is GGA-PBE.

Summary:
symmetry: No. 216
M_tot: 0.0 μB/f.u.
formation energy without anion corrections: -249 meV/atom

Structure (extended XYZ):
```
6
Lattice="0.000 4.478 4.478 4.478 0.000 4.478 4.478 4.478 0.000" Properties=species:S:1:pos:R:3 pbc="T T T"
K 0.000 0.000 0.000
Cd 5.592 3.364 3.364
Cd 3.364 5.592 3.364
Cd 3.364 3.364 5.592
Cd 5.592 5.592 5.592
Cl 2.239 2.239 2.239
```

=====

Entry 11:
This record from Alexandria describes a geometry-optimized K2CdCl structure. The functional is GGA-PBE.

Summary:
symmetry: No. 122
M_tot: 0.0 μB/f.u.
formation energy without anion corrections: -791 meV/atom
energy above the most stable polymorph in this dataset: 0.109 eV/atom

Structure (extended XYZ):
```
8
Lattice="-4.471 4.471 4.435 4.471 -4.471 4.435 4.471 4.471 -4.435" Properties=species:S:1:pos:R:3 pbc="T T T"
K 6.707 1.690 -1.109
K 1.690 2.236 1.109
K -2.236 2.782 3.326
K 2.782 2.236 5.544
Cd 4.471 0.000 2.218
Cd 0.000 0.000 4.435
Cl 0.000 0.000 0.000
Cl 0.000 4.471 2.218
```

=====

Entry 12:
This record from Alexandria describes a geometry-optimized K2CdCl structure. The functional is GGA-PBE.

Summary:
symmetry: No. 160
M_tot: 0.0 μB/f.u.
formation energy without anion corrections: -886 meV/atom
energy above the most stable polymorph in this dataset: 0.015 eV/atom

Structure (extended XYZ):
```
4
Lattice="2.142 1.236 9.661 -2.142 1.236 9.661 0.000 -2.473 9.661" Properties=species:S:1:pos:R:3 pbc="T T T"
K 0.000 0.000 0.000
K 0.000 0.000 5.754
Cd 0.000 0.000 12.524
Cl 0.000 0.000 17.370
```

=====

Entry 13:
This record from Alexandria describes a geometry-optimized KCd2Cl structure. The functional is GGA-PBE.

Summary:
symmetry: No. 122
M_tot: 0.0 μB/f.u.
formation energy without anion corrections: -554 meV/atom
energy above the most stable polymorph in this dataset: 0.177 eV/atom

Structure (extended XYZ):
```
8
Lattice="-4.787 4.787 2.936 4.787 -4.787 2.936 4.787 4.787 -2.936" Properties=species:S:1:pos:R:3 pbc="T T T"
K 0.000 0.000 0.000
K 0.000 4.787 1.468
Cd 2.393 -2.121 2.202
Cd 2.666 2.393 0.734
Cd 2.393 6.908 -0.734
Cd 2.121 2.393 3.670
Cl 4.787 0.000 1.468
Cl 0.000 0.000 2.936
```

=====

Entry 14:
This record from Alexandria describes a geometry-optimized KCd2Cl structure. The functional is GGA-PBE.

Summary:
symmetry: No. 123
M_tot: 0.0 μB/f.u.
formation energy without anion corrections: -491 meV/atom
energy above the most stable polymorph in this dataset: 0.240 eV/atom

Structure (extended XYZ):
```
4
Lattice="5.029 0.000 0.000 0.000 5.029 0.000 0.000 0.000 5.790" Properties=species:S:1:pos:R:3 pbc="T T T"
K 0.000 0.000 0.000
Cd 2.514 2.514 1.505
Cd 2.514 2.514 4.285
Cl 0.000 0.000 2.895
```

=====

Entry 15:
This record from Alexandria describes a geometry-optimized KCdCl structure. The functional is GGA-PBE.

Summary:
symmetry: No. 164
M_tot: 0.0 μB/f.u.
formation energy without anion corrections: -811 meV/atom
energy above the most stable polymorph in this dataset: 0.191 eV/atom

Structure (extended XYZ):
```
12
Lattice="4.245 0.000 0.000 -2.123 3.677 0.000 0.000 0.000 28.118" Properties=species:S:1:pos:R:3 pbc="T T T"
K 0.000 2.451 4.890
K 0.000 2.451 12.050
K 2.123 1.226 16.068
K 2.123 1.226 23.228
Cd 0.000 2.451 0.838
Cd 0.000 2.451 18.761
Cd 2.123 1.226 9.357
Cd 2.123 1.226 27.280
Cl 0.000 2.451 21.355
Cl 0.000 2.451 25.244
Cl 2.123 1.226 2.874
Cl 2.123 1.226 6.764
```

=====

Entry 16:
This record from Alexandria describes a geometry-optimized KCd2Cl structure. The functional is GGA-PBE.

Summary:
symmetry: No. 6
M_tot: 0.0 μB/f.u.
formation energy without anion corrections: -731 meV/atom
energy above the most stable polymorph in this dataset: 0.000 eV/atom

Structure (extended XYZ):
```
4
Lattice="4.263 0.000 0.000 0.000 4.200 0.000 -2.113 0.000 7.156" Properties=species:S:1:pos:R:3 pbc="T T T"
K 0.000 0.000 0.000
Cd -0.026 2.100 3.517
Cd 2.106 0.000 3.266
Cl 0.019 2.100 6.508
```

=====

Entry 17:
This record from Alexandria describes a geometry-optimized KCd2Cl structure. The functional is GGA-PBE.

Summary:
symmetry: No. 65
M_tot: 0.0 μB/f.u.
formation energy without anion corrections: -525 meV/atom
energy above the most stable polymorph in this dataset: 0.206 eV/atom

Structure (extended XYZ):
```
4
Lattice="2.885 -5.711 0.000 2.885 5.711 0.000 0.000 0.000 4.058" Properties=species:S:1:pos:R:3 pbc="T T T"
K 0.000 0.000 0.000
Cd 1.443 2.855 2.029
Cd 1.443 -2.855 2.029
Cl 2.885 0.000 0.000
```

=====

Entry 18:
This record from Alexandria describes a geometry-optimized K2CdCl structure. The functional is GGA-PBE.

Summary:
symmetry: No. 44
M_tot: 0.0 μB/f.u.
formation energy without anion corrections: -876 meV/atom
energy above the most stable polymorph in this dataset: 0.024 eV/atom

Structure (extended XYZ):
```
4
Lattice="-1.953 2.062 9.518 1.953 -2.062 9.518 1.953 2.062 -9.518" Properties=species:S:1:pos:R:3 pbc="T T T"
K 0.000 0.000 0.000
K 0.000 2.062 3.887
Cd 1.953 0.000 6.317
Cl 0.000 0.000 10.924
```

=====

Entry 19:
This record from Alexandria describes a geometry-optimized K2CdCl structure. The functional is GGA-PBE.

Summary:
symmetry: No. 6
M_tot: 0.0 μB/f.u.
formation energy without anion corrections: -768 meV/atom
energy above the most stable polymorph in this dataset: 0.132 eV/atom

Structure (extended XYZ):
```
4
Lattice="4.225 0.000 0.000 0.000 5.831 0.000 -0.009 0.000 5.822" Properties=species:S:1:pos:R:3 pbc="T T T"
K 0.000 0.000 0.000
K -0.001 2.916 2.912
Cd 2.125 0.000 2.911
Cl 2.430 2.916 5.812
```

=====

Entry 20:
This record from Alexandria describes a geometry-optimized K4CdCl structure. The functional is GGA-PBE.

Summary:
symmetry: No. 216
M_tot: 0.0 μB/f.u.
formation energy without anion corrections: -173 meV/atom

Structure (extended XYZ):
```
6
Lattice="0.000 5.556 5.556 5.556 0.000 5.556 5.556 5.556 0.000" Properties=species:S:1:pos:R:3 pbc="T T T"
K 4.174 4.174 4.174
K 6.938 6.938 4.174
K 6.938 4.174 6.938
K 4.174 6.938 6.938
Cd 0.000 0.000 0.000
Cl 8.334 8.334 8.334
```

=====

Entry 21:
This record from Alexandria describes a geometry-optimized K6CdCl8 structure. The functional is GGA-PBE.

Summary:
symmetry: No. 148
M_tot: 0.1 μB/f.u.
formation energy without anion corrections: -1756 meV/atom

Structure (extended XYZ):
```
15
Lattice="4.637 2.677 6.166 -4.637 2.677 6.166 0.000 -5.354 6.166" Properties=species:S:1:pos:R:3 pbc="T T T"
K -1.960 -3.062 7.771
K -3.631 0.167 10.727
K -1.671 3.228 7.771
K 1.671 -3.228 10.727
K 3.631 -0.167 7.771
K 1.960 3.062 10.727
Cd 0.000 0.000 9.249
Cl 0.000 0.000 2.930
Cl -2.203 0.095 7.695
Cl -1.184 -1.861 10.802
Cl 1.019 -1.955 7.695
Cl -1.019 1.955 10.802
Cl 1.184 1.860 7.695
Cl 2.203 -0.095 10.802
Cl 0.000 0.000 15.567
```

=====

Entry 22:
This record from Alexandria describes a geometry-optimized KCd2Cl4 structure. The functional is GGA-PBE.

Summary:
symmetry: No. 87
M_tot: 0.0 μB/f.u.
formation energy without anion corrections: -1054 meV/atom

Structure (extended XYZ):
```
7
Lattice="-4.164 4.164 3.431 4.164 -4.164 3.431 4.164 4.164 -3.431" Properties=species:S:1:pos:R:3 pbc="T T T"
K 0.000 0.000 0.000
Cd 4.164 0.000 1.716
Cd 0.000 4.164 1.716
Cl 5.552 1.481 0.000
Cl 1.481 2.776 0.000
Cl 2.682 1.388 3.431
Cl -1.388 2.682 3.431
```

=====

Entry 23:
This record from Alexandria describes a geometry-optimized K4CdCl6 structure. The functional is GGA-PBE.

Summary:
symmetry: No. 167
M_tot: 0.0 μB/f.u.
formation energy without anion corrections: -1734 meV/atom

Structure (extended XYZ):
```
22
Lattice="6.150 3.551 5.041 -6.150 3.551 5.041 0.000 -7.101 5.041" Properties=species:S:1:pos:R:3 pbc="T T T"
K -3.829 0.469 6.302
K 0.000 0.000 3.781
K -2.321 -3.081 8.823
K 1.508 -3.551 6.302
K -1.508 3.551 8.823
K 2.321 3.081 6.302
K 0.000 0.000 11.343
K 3.829 -0.469 8.823
Cd 0.000 0.000 0.000
Cd 0.000 0.000 7.562
Cl -5.381 -1.509 8.535
Cl -1.384 -5.414 6.589
Cl -1.384 -1.687 6.015
Cl -3.997 3.905 6.589
Cl -0.769 2.042 6.015
Cl -2.153 0.355 9.110
Cl 2.153 -0.355 6.015
Cl 0.769 -2.042 9.110
Cl 3.997 -3.905 8.535
Cl 1.384 1.687 9.110
Cl 1.384 5.414 8.535
Cl 5.381 1.509 6.589
```

=====

Entry 24:
This record from Alexandria describes a geometry-optimized KCd2Cl structure. The functional is GGA-PBE.

Summary:
symmetry: No. 8
M_tot: 0.0 μB/f.u.
formation energy without anion corrections: -691 meV/atom
energy above the most stable polymorph in this dataset: 0.040 eV/atom

Structure (extended XYZ):
```
4
Lattice="4.449 -2.502 0.000 4.449 2.502 0.000 -2.942 0.000 6.492" Properties=species:S:1:pos:R:3 pbc="T T T"
K 0.000 0.000 0.000
Cd -0.005 0.000 4.019
Cd 2.922 0.000 3.687
Cl 2.928 0.000 0.790
```

=====

Entry 25:
This record from Alexandria describes a geometry-optimized K2CdCl structure. The functional is GGA-PBE.

Summary:
symmetry: No. 10
M_tot: 0.0 μB/f.u.
formation energy without anion corrections: -901 meV/atom
energy above the most stable polymorph in this dataset: 0.000 eV/atom

Structure (extended XYZ):
```
4
Lattice="3.828 0.000 0.000 0.000 3.829 0.000 -0.011 0.000 9.190" Properties=species:S:1:pos:R:3 pbc="T T T"
K 0.000 0.000 1.892
K 3.817 0.000 7.298
Cd 1.909 1.914 4.595
Cl 1.914 1.914 0.000
```